No. 1
First-principles (GGA-PBE) data for a geometry-optimized Tb2Sm2Dy2Mg structure, as listed in the Alexandria database.

Values from the calculation:
Its density of states at the Fermi level is 1.156 states/eV/atom. The calculation puts the formation energy at 88 meV/atom. The space group is C2/m (12).

Lattice parameters (Å, degrees): 3.6666 6.3184 11.5429 117.14 90.00 106.87
Element x y z (fractional)
Tb: 0.7470 0.4939 0.6289
Tb: 0.2530 0.5061 0.3711
Sm: 0.5289 0.0579 0.7444
Sm: 0.4711 0.9421 0.2556
Dy: 0.6800 0.3599 0.0857
Dy: 0.3200 0.6401 0.9143
Mg: 0.0000 0.0000 0.5000

No. 2
First-principles (GGA-PBE) data for a geometry-optimized TbSm2Dy5Mg structure, as listed in the Alexandria database.

Values from the calculation:
Its density of states at the Fermi level is 1.392 states/eV/atom. The calculation puts the formation energy at 99 meV/atom. The space group is Cmc2_1 (36).

Lattice parameters (Å, degrees): 5.4316 10.4138 10.5025 90.00 90.00 105.12
Element x y z (fractional)
Tb: 0.7943 0.5885 0.5084
Tb: 0.2057 0.4115 0.0084
Sm: 0.8849 0.7698 0.7974
Sm: 0.1151 0.2302 0.7196
Sm: 0.1151 0.2302 0.2974
Sm: 0.8849 0.7698 0.2196
Dy: 0.3831 0.7663 0.0085
Dy: 0.7109 0.4217 0.8091
Dy: 0.4997 0.9994 0.7580
Dy: 0.2896 0.5791 0.7075
Dy: 0.9862 0.9725 0.5084
Dy: 0.6169 0.2337 0.5085
Dy: 0.2891 0.5783 0.3091
Dy: 0.5003 0.0006 0.2580
Dy: 0.7104 0.4209 0.2075
Dy: 0.0138 0.0275 0.0084
Mg: 0.5951 0.1902 0.0072
Mg: 0.4049 0.8098 0.5072

No. 3
First-principles (GGA-PBE) data for a geometry-optimized Tb2Sm6DyMg structure, as listed in the Alexandria database.

Values from the calculation:
Its density of states at the Fermi level is 1.274 states/eV/atom. The calculation puts the formation energy at 119 meV/atom. The space group is C2/c (15).

Lattice parameters (Å, degrees): 9.3326 8.8819 8.8819 117.46 92.81 92.81
Element x y z (fractional)
Tb: 0.4506 0.7929 0.6876
Tb: 0.0494 0.3124 0.2071
Tb: 0.5494 0.2071 0.3124
Tb: 0.9506 0.6876 0.7929
Sm: 0.0527 0.1314 0.7738
Sm: 0.4473 0.2262 0.8686
Sm: 0.9473 0.8686 0.2262
Sm: 0.5527 0.7738 0.1314
Sm: 0.3019 0.0006 0.4327
Sm: 0.1981 0.5673 0.9994
Sm: 0.6981 0.9994 0.5673
Sm: 0.8019 0.4327 0.0006
Sm: 0.1079 0.7154 0.4967
Sm: 0.3921 0.5033 0.2846
Sm: 0.8921 0.2846 0.5033
Sm: 0.6079 0.4967 0.7154
Dy: 0.2500 0.9763 0.0237
Dy: 0.7500 0.0237 0.9763
Mg: 0.2500 0.4157 0.5843
Mg: 0.7500 0.5843 0.4157

No. 4
First-principles (GGA-PBE) data for a geometry-optimized Tb3Sm2Dy6Mg structure, as listed in the Alexandria database.

Values from the calculation:
Its density of states at the Fermi level is 1.401 states/eV/atom. The calculation puts the formation energy at 22 meV/atom. The space group is C2/m (12).

Lattice parameters (Å, degrees): 6.1275 6.1275 11.7348 95.02 95.02 120.05
Element x y z (fractional)
Tb: 0.1659 0.8341 0.5000
Tb: 0.8341 0.1659 0.5000
Tb: 0.5000 0.5000 0.5000
Sm: 0.3336 0.6664 0.0000
Sm: 0.6664 0.3336 0.0000
Dy: 0.9172 0.5854 0.7501
Dy: 0.7508 0.7508 0.2510
Dy: 0.0828 0.4146 0.2499
Dy: 0.5854 0.9172 0.7501
Dy: 0.2492 0.2492 0.7490
Dy: 0.4146 0.0828 0.2499
Mg: 0.0000 0.0000 0.0000

No. 5
First-principles (GGA-PBE) data for a geometry-optimized Tb6Sm2DyMg structure, as listed in the Alexandria database.

Values from the calculation:
Its density of states at the Fermi level is 1.528 states/eV/atom. The calculation puts the formation energy at 105 meV/atom. The space group is C2/c (15).

Lattice parameters (Å, degrees): 6.6234 10.9985 10.9985 126.30 85.87 85.87
Element x y z (fractional)
Tb: 0.0292 0.0877 0.7943
Tb: 0.4708 0.2057 0.9123
Tb: 0.9708 0.9123 0.2057
Tb: 0.5292 0.7943 0.0877
Tb: 0.2784 0.9157 0.4375
Tb: 0.2216 0.5625 0.0843
Tb: 0.7216 0.0843 0.5625
Tb: 0.7784 0.4375 0.9157
Tb: 0.0184 0.7020 0.5305
Tb: 0.4816 0.4695 0.2980
Tb: 0.9816 0.2980 0.4695
Tb: 0.5184 0.5305 0.7020
Sm: 0.5035 0.8171 0.6519
Sm: 0.9965 0.3481 0.1829
Sm: 0.4965 0.1829 0.3481
Sm: 0.0035 0.6519 0.8171
Dy: 0.2500 0.9929 0.0071
Dy: 0.7500 0.0071 0.9929
Mg: 0.2500 0.2941 0.7059
Mg: 0.7500 0.7059 0.2941

No. 6
First-principles (GGA-PBE) data for a geometry-optimized Tb2Sm3Dy6Mg structure, as listed in the Alexandria database.

Values from the calculation:
Its density of states at the Fermi level is 1.434 states/eV/atom. The calculation puts the formation energy at 28 meV/atom. The space group is C2/m (12).

Lattice parameters (Å, degrees): 6.1478 6.1478 11.7317 95.04 95.04 120.04
Element x y z (fractional)
Tb: 0.3335 0.6665 0.0000
Tb: 0.6665 0.3335 0.0000
Sm: 0.1660 0.8340 0.5000
Sm: 0.8340 0.1660 0.5000
Sm: 0.5000 0.5000 0.5000
Dy: 0.9184 0.5862 0.7534
Dy: 0.7493 0.7493 0.2476
Dy: 0.0816 0.4138 0.2466
Dy: 0.5862 0.9184 0.7534
Dy: 0.2507 0.2507 0.7524
Dy: 0.4138 0.0816 0.2466
Mg: 0.0000 0.0000 0.0000

No. 7
First-principles (GGA-PBE) data for a geometry-optimized Tb4SmDy2Mg structure, as listed in the Alexandria database.

Values from the calculation:
Its density of states at the Fermi level is 1.426 states/eV/atom. The calculation puts the formation energy at 18 meV/atom. The space group is Pmmm (47).

Lattice parameters (Å, degrees): 4.9653 4.9759 11.1960 63.63 90.00 90.00
Element x y z (fractional)
Tb: 0.0000 0.7539 0.7460
Tb: 0.0000 0.2461 0.2540
Tb: 0.5000 0.7460 0.2540
Tb: 0.5000 0.2540 0.7460
Sm: 0.5000 0.5000 0.0000
Dy: 0.0000 0.0000 0.0000
Dy: 0.5000 0.0000 0.5000
Mg: 0.0000 0.5000 0.5000

No. 8
First-principles (GGA-PBE) data for a geometry-optimized Tb4Sm2Dy2Mg structure, as listed in the Alexandria database.

Values from the calculation:
Its density of states at the Fermi level is 1.395 states/eV/atom. The calculation puts the formation energy at 57 meV/atom. The space group is P-1 (2).

Lattice parameters (Å, degrees): 6.6700 8.6318 6.7381 100.50 128.74 96.65
Element x y z (fractional)
Tb: 0.6328 0.6699 0.9448
Tb: 0.4768 0.7853 0.3611
Tb: 0.3672 0.3301 0.0552
Tb: 0.5232 0.2147 0.6389
Sm: 0.1843 0.8817 0.6639
Sm: 0.8157 0.1183 0.3361
Dy: 0.0638 0.4619 0.2900
Dy: 0.9362 0.5381 0.7100
Mg: 0.0000 0.0000 0.0000

No. 9
First-principles (GGA-PBE) data for a geometry-optimized TbSm4Dy2Mg structure, as listed in the Alexandria database.

Values from the calculation:
Its density of states at the Fermi level is 1.354 states/eV/atom. The calculation puts the formation energy at 11 meV/atom. The space group is P4/mmm (123).

Lattice parameters (Å, degrees): 5.0234 5.0329 11.2016 63.30 90.00 90.00
Element x y z (fractional)
Tb: 0.0000 0.5000 0.5000
Sm: 0.0000 0.7463 0.7538
Sm: 0.0000 0.2537 0.2462
Sm: 0.5000 0.7534 0.2462
Sm: 0.5000 0.2466 0.7538
Dy: 0.0000 0.0000 0.0000
Dy: 0.5000 0.0000 0.5000
Mg: 0.5000 0.5000 0.0000

No. 10
First-principles (GGA-PBE) data for a geometry-optimized SmDyMgTc structure, as listed in the Alexandria database.

Values from the calculation:
Its density of states at the Fermi level is 0.567 states/eV/atom. The calculation puts the formation energy at 25 meV/atom. The space group is F-43m (216).

Lattice parameters (Å, degrees): 5.0807 5.0807 5.0807 60.00 60.00 60.00
Element x y z (fractional)
Mg: 0.0000 0.0000 0.0000
Tc: 0.5000 0.5000 0.5000
Sm: 0.2500 0.2500 0.2500
Dy: 0.7500 0.7500 0.7500

no.,calculated total energy (eV/atom)
1,-4.126
2,-4.198
3,-4.259
4,-4.356
5,-4.237
6,-4.357
7,-4.237
8,-4.250
9,-4.277
10,-5.296